Record 1
TaSeF3 | GGA-PBE | optimized geometry

Lattice parameters (Å, degrees): 4.166 4.166 4.166 90.00 90.00 90.00
Atoms (fractional coordinates):
Se1 0.500 0.500 0.500
F1 0.500 0.000 0.000
F2 0.000 0.000 0.500
F3 0.000 0.500 0.000
Ta1 0.000 0.000 0.000

Properties
Raw total energy: -5.661 eV/atom
Crystal system: cubic
Energy relative to the lowest polymorph listed for this composition: 0 meV/atom
Volume: 72.3 Å³ per cell
Formation energy (no corrections): -1470 meV per atom

---

Record 2
Pm2Y5Ho2 | GGA-PBE | optimized geometry

Lattice parameters (Å, degrees): 6.189 6.201 9.469 56.89 83.74 99.55
Atoms (fractional coordinates):
Y1 0.223 0.445 0.111
Y2 0.000 0.000 0.000
Y3 0.113 0.223 0.555
Y4 0.887 0.777 0.445
Y5 0.777 0.555 0.889
Pm1 0.445 0.888 0.223
Pm2 0.555 0.112 0.777
Ho1 0.334 0.668 0.665
Ho2 0.666 0.332 0.335

Properties
Raw total energy: -5.644 eV/atom
Crystal system: triclinic
Energy relative to the lowest polymorph listed for this composition: 0 meV/atom
Calculated formation energy: 0.5 kcal/mol of atoms
Volume: 291.3 Å³ per cell

---

Record 3
KAuBr2 | GGA-PBE | optimized geometry

Lattice parameters (Å, degrees): 7.381 5.770 4.235 70.74 86.68 128.19
Atoms (fractional coordinates):
Au1 0.500 0.500 0.000
Br1 0.000 0.000 0.000
Br2 0.500 0.000 0.500
K1 0.000 0.500 0.500

Properties
Raw total energy: -2.530 eV/atom
Crystal system: monoclinic
Energy relative to the lowest polymorph listed for this composition: 330 meV/atom
Volume: 125.2 Å³ per cell
Formation energy (no corrections): -600 meV per atom

---

Record 4
Nd2CdPd3Au12 | GGA-PBE | optimized geometry

Lattice parameters (Å, degrees): 8.120 8.120 8.120 66.42 66.42 66.42
Atoms (fractional coordinates):
Pd1 0.500 0.000 0.000
Pd2 0.000 0.000 0.500
Pd3 0.000 0.500 0.000
Au1 0.630 0.124 0.630
Au2 0.852 0.852 0.380
Au3 0.876 0.370 0.370
Au4 0.380 0.852 0.852
Au5 0.124 0.630 0.630
Au6 0.852 0.380 0.852
Au7 0.148 0.148 0.620
Au8 0.370 0.370 0.876
Au9 0.630 0.630 0.124
Au10 0.148 0.620 0.148
Au11 0.370 0.876 0.370
Au12 0.620 0.148 0.148
Nd1 0.392 0.392 0.392
Nd2 0.608 0.608 0.608
Cd1 0.000 0.000 0.000

Properties
Raw total energy: -3.598 eV/atom
Crystal system: trigonal
Calculated formation energy: 0.8 kcal/mol of atoms
Volume: 431.0 Å³ per cell